Entry 1:
The following is a DFT calculation (GGA-PBEsol) of a geometry-optimized Tl2AgSb structure.

Output
The value obtained for the raw formation energy is 0.08 eV per atom. The space group is Pm. As for the magnetization: 0.000 μB/cell. The crystal system is monoclinic. The calculation puts the total energy at -12.81 eV per formula unit. Its density of states at the Fermi level is 1.7 states/eV/f.u.

POSCAR file:
```
Tl2AgSb
1.0
3.274 0.000 0.000
0.000 4.443 0.000
-1.618 0.000 7.009
Tl Ag Sb
2 1 1
direct
0.000 0.000 0.000
0.353 0.500 0.702
0.591 0.500 0.187
0.713 0.000 0.430
```

Entry 2:
The following is a DFT calculation (GGA-PBEsol) of a geometry-optimized Rb2UPd3S6 structure.

Output
The value obtained for the raw formation energy is -0.95 eV per atom. The space group is Fmmm. As for the magnetization: 3.334 μB/cell. The crystal system is orthorhombic. The calculation puts the total energy at -69.81 eV per formula unit. Its density of states at the Fermi level is 6.9 states/eV/f.u.

POSCAR file:
```
Rb2UPd3S6
1.0
0.000 7.291 8.258
4.774 0.000 8.258
4.774 7.291 0.000
Rb U Pd S
4 2 6 12
direct
0.197 0.803 0.197
0.250 0.250 0.250
0.750 0.750 0.750
0.803 0.197 0.803
0.332 0.332 0.668
0.668 0.668 0.332
0.004 0.677 0.996
0.323 0.996 0.677
0.327 0.673 0.673
0.673 0.327 0.327
0.677 0.004 0.323
0.996 0.323 0.004
0.094 0.314 0.686
0.101 0.695 0.677
0.305 0.899 0.473
0.314 0.094 0.906
0.323 0.473 0.899
0.473 0.323 0.305
0.527 0.677 0.695
0.677 0.527 0.101
0.686 0.906 0.094
0.695 0.101 0.527
0.899 0.305 0.323
0.906 0.686 0.314
```